No. 1
Below is an optimized crystal structure of Dy5Ho4Sc, with properties calculated at the PBE-GGA level.

Output
- Total magnetization: 0.00 μB/cell
- ΔE_f: 0.113 eV/atom
- Calculated density: 8.13 g/cm³
- Energy relative to the lowest polymorph listed for this composition: 0 meV per atom
- Calculated total energy: -4.65 eV per atom

a = 3.4451 Å, b = 10.8153 Å, c = 8.8654 Å
α = 73.37°, β = 101.20°, γ = 90.00°
Closest atoms and distances in Å follow each position.
Atoms (fractional coordinates):
Dy 0.7933 0.5992 0.5867  7 Dy 3.33-3.58, 2 Ho 3.37-3.43
Dy 0.8944 0.2858 0.7888  3 Ho 3.29-3.51, 5 Dy 3.33-3.58, 2 Sc 3.55
Dy 0.1056 0.7142 0.2112  3 Ho 3.29-3.51, 5 Dy 3.33-3.58, 2 Sc 3.55
Dy 0.5000 0.5000 0.0000  10 Dy 3.45-3.85, 4 Ho 3.69
Dy 0.2067 0.4008 0.4133  7 Dy 3.33-3.58, 2 Ho 3.37-3.43
Ho 0.3039 0.0822 0.6078  1 Sc 3.26, 3 Dy 3.37-3.51, 7 Ho 3.40-3.52
Ho 0.9077 0.8100 0.8155  2 Dy 3.29-3.43, 2 Sc 3.42, 5 Ho 3.43-3.52
Ho 0.6961 0.9178 0.3922  1 Sc 3.26, 3 Dy 3.37-3.51, 7 Ho 3.40-3.52
Ho 0.0923 0.1900 0.1845  2 Dy 3.29-3.43, 2 Sc 3.42, 5 Ho 3.43-3.52
Sc 0.5000 0.0000 0.0000  6 Ho 3.26-3.42, 2 Sc 3.45, 4 Dy 3.55

No. 2
Below is an optimized crystal structure of Dy7Ho4Sc, with properties calculated at the PBE-GGA level.

Output
- Total magnetization: 0.58 μB/cell
- ΔE_f: 0.287 eV/atom
- Calculated density: 7.98 g/cm³
- Energy relative to the lowest polymorph listed for this composition: 186 meV per atom
- Calculated total energy: -4.45 eV per atom

a = 5.7741 Å, b = 11.5615 Å, c = 6.5971 Å
α = 83.59°, β = 64.05°, γ = 75.54°
Closest atoms and distances in Å follow each position.
Atoms (fractional coordinates):
Dy 0.7925 0.9257 0.4893  1 Sc 3.02, 4 Dy 3.14-3.34, 4 Ho 3.30-3.35
Dy 0.2075 0.0743 0.5107  1 Sc 3.02, 4 Dy 3.14-3.34, 4 Ho 3.30-3.35
Dy 0.0709 0.6960 0.1623  2 Dy 3.23-3.24, 1 Sc 3.53
Dy 0.9291 0.3040 0.8377  2 Dy 3.23-3.24, 1 Sc 3.53
Dy 0.3669 0.4950 0.7712  2 Dy 3.22-3.24, 5 Ho 3.27-3.50
Dy 0.5000 0.0000 0.0000  2 Sc 2.89, 2 Dy 3.14
Dy 0.6331 0.5050 0.2288  2 Dy 3.22-3.24, 5 Ho 3.27-3.50
Ho 0.6405 0.2249 0.4941  7 Dy 3.34-3.64, 2 Ho 3.49
Ho 0.3595 0.7751 0.5059  7 Dy 3.34-3.64, 2 Ho 3.49
Ho 0.7762 0.6721 0.7756  5 Dy 3.27-3.65, 2 Ho 3.49
Ho 0.2238 0.3279 0.2244  5 Dy 3.27-3.65, 2 Ho 3.49
Sc 0.0000 0.0000 0.0000  4 Dy 2.89-3.02

No. 3
Below is an optimized crystal structure of Dy5Ho3Sc2, with properties calculated at the PBE-GGA level.

Output
- Total magnetization: 0.00 μB/cell
- ΔE_f: 0.037 eV/atom
- Calculated density: 7.79 g/cm³
- Calculated total energy: -4.90 eV per atom

a = 9.2024 Å, b = 9.2009 Å, c = 9.2086 Å
α = 106.59°, β = 106.68°, γ = 115.28°
Closest atoms and distances in Å follow each position.
Atoms (fractional coordinates):
Dy 0.2731 0.4252 0.9486  5 Ho 3.46-3.50, 2 Sc 3.47-3.48, 5 Dy 3.47-3.51
Dy 0.7269 0.5748 0.0514  5 Ho 3.46-3.50, 2 Sc 3.47-3.48, 5 Dy 3.47-3.51
Dy 0.0259 0.6778 0.4528  6 Dy 3.44-3.50, 4 Sc 3.45-3.53, 2 Ho 3.45-3.51
Dy 0.5232 0.1754 0.4484  5 Ho 3.46-3.50, 2 Sc 3.47-3.48, 5 Dy 3.49-3.51
Dy 0.9741 0.3222 0.5472  6 Dy 3.44-3.50, 4 Sc 3.45-3.53, 2 Ho 3.45-3.51
Dy 0.4768 0.8246 0.5516  5 Ho 3.46-3.50, 2 Sc 3.47-3.48, 5 Dy 3.49-3.51
Dy 0.8777 0.6279 0.7502  6 Ho 3.45-3.52, 4 Dy 3.45-3.51, 2 Sc 3.47-3.48
Dy 0.1223 0.3721 0.2498  6 Ho 3.45-3.52, 4 Dy 3.45-3.51, 2 Sc 3.47-3.48
Dy 0.3718 0.1219 0.7501  5 Dy 3.44-3.51, 3 Ho 3.44-3.50, 4 Sc 3.44-3.47
Dy 0.6282 0.8781 0.2499  5 Dy 3.44-3.51, 3 Ho 3.44-3.50, 4 Sc 3.44-3.47
Ho 0.2248 0.0731 0.0473  5 Dy 3.44-3.50, 4 Sc 3.45-3.52, 3 Ho 3.45-3.50
Ho 0.7751 0.9269 0.9527  5 Dy 3.44-3.50, 4 Sc 3.45-3.52, 3 Ho 3.45-3.50
Ho 0.5777 0.5257 0.3497  8 Dy 3.45-3.52, 2 Sc 3.47-3.48, 2 Ho 3.50-3.52
Ho 0.4223 0.4743 0.6503  8 Dy 3.45-3.52, 2 Sc 3.47-3.48, 2 Ho 3.50-3.52
Ho 0.1762 0.7282 0.1502  2 Ho 3.45-3.52, 8 Dy 3.46-3.52, 2 Sc 3.47-3.48
Ho 0.8238 0.2718 0.8498  2 Ho 3.45-3.52, 8 Dy 3.46-3.52, 2 Sc 3.47-3.48
Sc 0.9262 0.9763 0.6489  1 Sc 3.44, 7 Dy 3.45-3.48, 4 Ho 3.47-3.52
Sc 0.0738 0.0237 0.3511  1 Sc 3.44, 7 Dy 3.45-3.48, 4 Ho 3.47-3.52
Sc 0.3280 0.7781 0.8517  1 Sc 3.43, 7 Dy 3.44-3.53, 4 Ho 3.45-3.48
Sc 0.6720 0.2219 0.1483  1 Sc 3.43, 7 Dy 3.44-3.53, 4 Ho 3.45-3.48

No. 4
Below is an optimized crystal structure of Dy2Ho5Sc2, with properties calculated at the PBE-GGA level.

Output
- Total magnetization: 0.00 μB/cell
- ΔE_f: 0.106 eV/atom
- Calculated density: 7.59 g/cm³
- Energy relative to the lowest polymorph listed for this composition: 0 meV per atom
- Calculated total energy: -4.87 eV per atom

a = 3.4269 Å, b = 8.9095 Å, c = 11.2278 Å
α = 53.82°, β = 81.22°, γ = 78.91°
Closest atoms and distances in Å follow each position.
Atoms (fractional coordinates):
Dy 0.1467 0.2359 0.4707  4 Ho 3.38-3.65, 4 Sc 3.42-3.47, 2 Dy 3.43
Dy 0.8533 0.7641 0.5293  4 Ho 3.38-3.65, 4 Sc 3.42-3.47, 2 Dy 3.43
Ho 0.3418 0.1028 0.2136  1 Sc 3.38, 7 Ho 3.43-3.45, 3 Dy 3.46-3.65
Ho 0.6582 0.8972 0.7864  1 Sc 3.38, 7 Ho 3.43-3.45, 3 Dy 3.46-3.65
Ho 0.1685 0.5621 0.1010  8 Ho 3.31-3.46, 1 Dy 3.38, 2 Sc 3.45
Ho 0.8315 0.4379 0.8990  8 Ho 3.31-3.46, 1 Dy 3.38, 2 Sc 3.45
Ho 0.0000 0.0000 0.0000  8 Ho 3.31-3.44, 4 Sc 3.52
Sc 0.4880 0.3466 0.6774  3 Sc 3.24-3.43, 5 Ho 3.38-3.52, 4 Dy 3.42-3.47
Sc 0.5120 0.6534 0.3226  3 Sc 3.24-3.43, 5 Ho 3.38-3.52, 4 Dy 3.42-3.47

No. 5
Below is an optimized crystal structure of Dy2Ho7Sc2, with properties calculated at the PBE-GGA level.

Output
- Total magnetization: 0.00 μB/cell
- ΔE_f: 0.204 eV/atom
- Calculated density: 7.77 g/cm³
- Energy relative to the lowest polymorph listed for this composition: 0 meV per atom
- Calculated total energy: -4.70 eV per atom

a = 7.8810 Å, b = 5.8619 Å, c = 7.8810 Å
α = 74.18°, β = 89.13°, γ = 105.82°
Closest atoms and distances in Å follow each position.
Atoms (fractional coordinates):
Dy 0.7802 0.0000 0.7802  6 Ho 3.23-3.49, 2 Sc 3.53
Dy 0.2198 0.0000 0.2198  6 Ho 3.23-3.49, 2 Sc 3.53
Ho 0.9461 0.6719 0.5934  3 Ho 3.08-3.30, 2 Dy 3.23-3.39
Ho 0.4066 0.6719 0.0539  3 Ho 3.08-3.30, 2 Dy 3.23-3.39
Ho 0.2383 0.1004 0.7617  5 Ho 3.30-3.48, 3 Sc 3.33-3.58, 2 Dy 3.49
Ho 0.0000 0.5000 0.0000  6 Ho 3.16-3.48
Ho 0.7617 0.8996 0.2383  5 Ho 3.30-3.48, 3 Sc 3.33-3.58, 2 Dy 3.49
Ho 0.0539 0.3281 0.4066  3 Ho 3.08-3.30, 2 Dy 3.23-3.39
Ho 0.5934 0.3281 0.9461  3 Ho 3.08-3.30, 2 Dy 3.23-3.39
Sc 0.4173 0.7060 0.5827  2 Sc 3.21-3.55, 3 Ho 3.33-3.58, 2 Dy 3.53
Sc 0.5827 0.2940 0.4173  2 Sc 3.21-3.55, 3 Ho 3.33-3.58, 2 Dy 3.53

No. 6
Below is an optimized crystal structure of Dy8HoSc6, with properties calculated at the PBE-GGA level.

Output
- Total magnetization: 0.00 μB/cell
- ΔE_f: 0.246 eV/atom
- Calculated density: 6.41 g/cm³
- Energy relative to the lowest polymorph listed for this composition: 58 meV per atom
- Calculated total energy: -5.05 eV per atom

a = 6.3586 Å, b = 9.0327 Å, c = 9.0327 Å
α = 120.00°, β = 90.00°, γ = 90.00°
Closest atoms and distances in Å follow each position.
Atoms (fractional coordinates):
Dy 0.8901 0.9621 0.3081  4 Sc 3.06-3.38, 3 Dy 3.28-3.37
Dy 0.8901 0.6919 0.6541  4 Sc 3.06-3.38, 3 Dy 3.28-3.37
Dy 0.8901 0.3459 0.0379  4 Sc 3.06-3.38, 3 Dy 3.28-3.37
Dy 0.1099 0.0379 0.6919  4 Sc 3.06-3.38, 3 Dy 3.28-3.37
Dy 0.1099 0.3081 0.3459  4 Sc 3.06-3.38, 3 Dy 3.28-3.37
Dy 0.1099 0.6541 0.9621  4 Sc 3.06-3.38, 3 Dy 3.28-3.37
Dy 0.7803 0.3333 0.6667  6 Dy 3.37-3.49, 6 Sc 3.40-3.57
Dy 0.2197 0.6667 0.3333  6 Dy 3.37-3.49, 6 Sc 3.40-3.57
Ho 0.5000 0.0000 0.0000  6 Sc 3.38
Sc 0.5972 0.6712 0.0688  1 Sc 2.97, 2 Dy 3.06-3.23
Sc 0.5972 0.9312 0.6024  1 Sc 2.97, 2 Dy 3.06-3.23
Sc 0.5972 0.3976 0.3288  1 Sc 2.97, 2 Dy 3.06-3.23
Sc 0.4028 0.3288 0.9312  1 Sc 2.97, 2 Dy 3.06-3.23
Sc 0.4028 0.0688 0.3976  1 Sc 2.97, 2 Dy 3.06-3.23
Sc 0.4028 0.6024 0.6712  1 Sc 2.97, 2 Dy 3.06-3.23

No. 7
Below is an optimized crystal structure of DyHo2Sc, with properties calculated at the PBE-GGA level.

Output
- Total magnetization: 0.00 μB/cell
- ΔE_f: 0.028 eV/atom
- Calculated density: 7.56 g/cm³
- Energy relative to the lowest polymorph listed for this composition: 0 meV per atom
- Calculated total energy: -4.99 eV per atom

a = 3.4926 Å, b = 6.0508 Å, c = 11.3499 Å
α = 84.91°, β = 98.86°, γ = 90.01°
Closest atoms and distances in Å follow each position.
Atoms (fractional coordinates):
Dy 0.5435 0.9388 0.5720  6 Dy 3.49, 6 Ho 3.52-3.55
Dy 0.0435 0.4388 0.5720  6 Dy 3.49, 6 Ho 3.52-3.55
Ho 0.1722 0.7293 0.8311  3 Sc 3.34, 6 Ho 3.49, 3 Dy 3.52-3.53
Ho 0.9119 0.1499 0.3109  3 Sc 3.37, 6 Ho 3.49, 3 Dy 3.54-3.55
Ho 0.4120 0.6499 0.3109  3 Sc 3.37, 6 Ho 3.49, 3 Dy 3.54-3.55
Ho 0.6721 0.2293 0.8311  3 Sc 3.34, 6 Ho 3.49, 3 Dy 3.52-3.53
Sc 0.7922 0.8569 0.0695  6 Ho 3.34-3.37, 6 Sc 3.49
Sc 0.2921 0.3569 0.0695  6 Ho 3.34-3.37, 6 Sc 3.49

No. 8
Below is an optimized crystal structure of Dy6Ho5Sc2, with properties calculated at the PBE-GGA level.

Output
- Total magnetization: 0.00 μB/cell
- ΔE_f: 0.118 eV/atom
- Calculated density: 7.83 g/cm³
- Calculated total energy: -4.74 eV per atom

a = 3.5243 Å, b = 11.3315 Å, c = 20.0755 Å
α = 90.00°, β = 90.00°, γ = 90.00°
Closest atoms and distances in Å follow each position.
Atoms (fractional coordinates):
Dy 0.0000 0.0858 0.3693  1 Sc 3.15, 6 Ho 3.31-3.41, 4 Dy 3.40-3.52
Dy 0.0000 0.9142 0.6307  1 Sc 3.15, 6 Ho 3.31-3.41, 4 Dy 3.40-3.52
Dy 0.0000 0.5858 0.1307  1 Sc 3.15, 6 Ho 3.31-3.41, 4 Dy 3.40-3.52
Dy 0.0000 0.4142 0.8693  1 Sc 3.15, 6 Ho 3.31-3.41, 4 Dy 3.40-3.52
Dy 0.5000 0.3298 0.1436  2 Ho 3.30-3.47, 4 Dy 3.40-3.52, 2 Sc 3.48
Dy 0.5000 0.6702 0.8564  2 Ho 3.30-3.47, 4 Dy 3.40-3.52, 2 Sc 3.48
Dy 0.5000 0.8298 0.3564  2 Ho 3.30-3.47, 4 Dy 3.40-3.52, 2 Sc 3.48
Dy 0.5000 0.1702 0.6436  2 Ho 3.30-3.47, 4 Dy 3.40-3.52, 2 Sc 3.48
Dy 0.0000 0.5625 0.4180  6 Ho 3.45-3.58, 5 Dy 3.52-3.72, 1 Sc 3.65
Dy 0.0000 0.4375 0.5820  6 Ho 3.45-3.58, 5 Dy 3.52-3.72, 1 Sc 3.65
Dy 0.0000 0.0625 0.0820  6 Ho 3.45-3.58, 5 Dy 3.52-3.72, 1 Sc 3.65
Dy 0.0000 0.9375 0.9180  6 Ho 3.45-3.58, 5 Dy 3.52-3.72, 1 Sc 3.65
Ho 0.5000 0.3044 0.4461  6 Dy 3.41-3.58, 3 Ho 3.52-3.62, 2 Sc 3.55
Ho 0.5000 0.6956 0.5539  6 Dy 3.41-3.58, 3 Ho 3.52-3.62, 2 Sc 3.55
Ho 0.5000 0.8044 0.0539  6 Dy 3.41-3.58, 3 Ho 3.52-3.62, 2 Sc 3.55
Ho 0.5000 0.1956 0.9461  6 Dy 3.41-3.58, 3 Ho 3.52-3.62, 2 Sc 3.55
Ho 0.5000 0.5810 0.2709  5 Dy 3.30-3.45, 4 Sc 3.39-3.55, 2 Ho 3.52
Ho 0.5000 0.4190 0.7291  5 Dy 3.30-3.45, 4 Sc 3.39-3.55, 2 Ho 3.52
Ho 0.5000 0.0810 0.2291  5 Dy 3.30-3.45, 4 Sc 3.39-3.55, 2 Ho 3.52
Ho 0.5000 0.9190 0.7709  5 Dy 3.30-3.45, 4 Sc 3.39-3.55, 2 Ho 3.52
Ho 0.5000 0.5000 0.0000  6 Dy 3.31-3.47, 4 Ho 3.52-3.62
Ho 0.5000 0.0000 0.5000  6 Dy 3.31-3.47, 4 Ho 3.52-3.62
Sc 0.0000 0.3287 0.2929  3 Dy 3.15-3.48, 2 Ho 3.39, 2 Sc 3.52
Sc 0.0000 0.6713 0.7071  3 Dy 3.15-3.48, 2 Ho 3.39, 2 Sc 3.52
Sc 0.0000 0.8287 0.2071  3 Dy 3.15-3.48, 2 Ho 3.39, 2 Sc 3.52
Sc 0.0000 0.1713 0.7929  3 Dy 3.15-3.48, 2 Ho 3.39, 2 Sc 3.52

No. 9
Below is an optimized crystal structure of Dy8HoSc2, with properties calculated at the PBE-GGA level.

Output
- Total magnetization: 0.00 μB/cell
- ΔE_f: 0.124 eV/atom
- Calculated density: 7.64 g/cm³
- Energy relative to the lowest polymorph listed for this composition: 0 meV per atom
- Calculated total energy: -4.79 eV per atom

a = 5.3555 Å, b = 8.1825 Å, c = 9.1340 Å
α = 116.61°, β = 107.05°, γ = 90.00°
Closest atoms and distances in Å follow each position.
Atoms (fractional coordinates):
Dy 0.6424 0.8469 0.2847  1 Ho 3.27, 3 Sc 3.29-3.41, 6 Dy 3.35-3.62
Dy 0.3576 0.5622 0.7153  1 Ho 3.27, 3 Sc 3.29-3.41, 6 Dy 3.35-3.62
Dy 0.1619 0.1619 0.3239  2 Sc 3.41, 8 Dy 3.45-3.62, 2 Ho 3.66
Dy 0.0000 0.2998 0.0000  7 Dy 3.28-3.50, 2 Sc 3.51, 2 Ho 3.63
Dy 0.8381 0.8381 0.6761  2 Sc 3.41, 8 Dy 3.45-3.62, 2 Ho 3.66
Dy 0.6424 0.4378 0.2847  1 Ho 3.27, 3 Sc 3.29-3.41, 6 Dy 3.35-3.62
Dy 0.3576 0.1531 0.7153  1 Ho 3.27, 3 Sc 3.29-3.41, 6 Dy 3.35-3.62
Dy 0.0000 0.7002 0.0000  7 Dy 3.28-3.50, 2 Sc 3.51, 2 Ho 3.63
Ho 0.5000 0.0000 0.0000  8 Dy 3.27-3.63
Sc 0.2013 0.7013 0.4027  10 Dy 3.29-3.51
Sc 0.7987 0.2987 0.5973  10 Dy 3.29-3.51

No. 10
Below is an optimized crystal structure of Dy3HoSc, with properties calculated at the PBE-GGA level.

Output
- Total magnetization: 0.00 μB/cell
- ΔE_f: 0.163 eV/atom
- Calculated density: 7.44 g/cm³
- Energy relative to the lowest polymorph listed for this composition: 145 meV per atom
- Calculated total energy: -4.78 eV per atom

a = 3.4755 Å, b = 10.4744 Å, c = 17.1040 Å
α = 90.00°, β = 90.00°, γ = 90.00°
Closest atoms and distances in Å follow each position.
Atoms (fractional coordinates):
Dy 0.7471 0.5000 0.7500  4 Sc 3.17, 6 Dy 3.48-3.49
Dy 0.2529 0.0000 0.2500  4 Sc 3.17, 6 Dy 3.48-3.49
Dy 0.2529 0.5000 0.2500  4 Sc 3.17, 6 Dy 3.48-3.49
Dy 0.7471 0.0000 0.7500  4 Sc 3.17, 6 Dy 3.48-3.49
Dy 0.2483 0.5591 0.9230  1 Sc 3.25, 6 Dy 3.38-3.49
Dy 0.2483 0.4409 0.5770  1 Sc 3.25, 6 Dy 3.38-3.49
Dy 0.7517 0.0591 0.0770  1 Sc 3.25, 6 Dy 3.38-3.49
Dy 0.7517 0.9409 0.4230  1 Sc 3.25, 6 Dy 3.38-3.49
Dy 0.2483 0.0591 0.5770  1 Sc 3.25, 6 Dy 3.38-3.49
Dy 0.2483 0.9409 0.9230  1 Sc 3.25, 6 Dy 3.38-3.49
Dy 0.7517 0.5591 0.4230  1 Sc 3.25, 6 Dy 3.38-3.49
Dy 0.7517 0.4409 0.0770  1 Sc 3.25, 6 Dy 3.38-3.49
Ho 0.7463 0.2500 0.8974  2 Sc 3.39, 2 Ho 3.48, 8 Dy 3.63-3.70
Ho 0.7463 0.7500 0.6026  2 Sc 3.39, 2 Ho 3.48, 8 Dy 3.63-3.70
Ho 0.2537 0.7500 0.1026  2 Sc 3.39, 2 Ho 3.48, 8 Dy 3.63-3.70
Ho 0.2537 0.2500 0.3974  2 Sc 3.39, 2 Ho 3.48, 8 Dy 3.63-3.70
Sc 0.7539 0.2500 0.2270  6 Dy 3.17-3.25, 2 Ho 3.39, 2 Sc 3.48
Sc 0.7539 0.7500 0.2730  6 Dy 3.17-3.25, 2 Ho 3.39, 2 Sc 3.48
Sc 0.2461 0.7500 0.7730  6 Dy 3.17-3.25, 2 Ho 3.39, 2 Sc 3.48
Sc 0.2461 0.2500 0.7270  6 Dy 3.17-3.25, 2 Ho 3.39, 2 Sc 3.48